Entry 1:
DFT (GGA-PBE) results for a geometry-optimized PuZr2MnN4 structure.

## Properties
crystal system: orthorhombic

Geometry as CIF:
```
data_PuZr2MnN4
_symmetry_space_group_name_H-M 'C m c m'
_symmetry_Int_Tables_number 63
_symmetry_space_group_name_Hall '-C 2c 2'
_cell_length_a 3.215
_cell_length_b 11.067
_cell_length_c 11.127
_cell_angle_alpha 90.00
_cell_angle_beta 90.00
_cell_angle_gamma 90.00
loop_
_atom_site_label
_atom_site_type_symbol
_atom_site_fract_x
_atom_site_fract_y
_atom_site_fract_z
_atom_site_occupancy
Pu1 Pu 0.000 0.105 0.250 1
Zr1 Zr 0.000 0.369 0.050 1
Mn1 Mn 0.000 0.157 0.750 1
N1 N 0.000 0.000 0.000 1
N2 N 0.000 0.271 0.620 1
N3 N 0.000 0.444 0.250 1
```

Entry 2:
DFT (GGA-PBE) results for a geometry-optimized RbMn3N structure.

## Properties
crystal system: cubic
excess energy over the best structure of this formula in the dataset: 12.307 eV per formula unit

Geometry as CIF:
```
data_RbMn3N
_symmetry_space_group_name_H-M 'P m -3 m'
_symmetry_Int_Tables_number 221
_symmetry_space_group_name_Hall '-P 4 2 3'
_cell_length_a 5.046
_cell_length_b 5.046
_cell_length_c 5.046
_cell_angle_alpha 90.00
_cell_angle_beta 90.00
_cell_angle_gamma 90.00
loop_
_atom_site_label
_atom_site_type_symbol
_atom_site_fract_x
_atom_site_fract_y
_atom_site_fract_z
_atom_site_occupancy
Rb1 Rb 0.000 0.000 0.000 1
Mn1 Mn 0.000 0.000 0.500 1
N1 N 0.500 0.500 0.500 1
```

Entry 3:
DFT (GGA-PBE) results for a geometry-optimized RbMnN structure.

## Properties
crystal system: tetragonal
excess energy over the best structure of this formula in the dataset: 0.000 eV per formula unit

Geometry as CIF:
```
data_RbMnN
_symmetry_space_group_name_H-M 'P 4/n m m'
_symmetry_Int_Tables_number 129
_cell_length_a 3.509
_cell_length_b 3.509
_cell_length_c 10.424
_cell_angle_alpha 90.00
_cell_angle_beta 90.00
_cell_angle_gamma 90.00
loop_
_symmetry_equiv_pos_as_xyz
'x,y,z'
'-x,-y,-z'
'-y+1/2,x,z'
'y+1/2,-x,-z'
'-x+1/2,-y+1/2,z'
'x+1/2,y+1/2,-z'
'y,-x+1/2,z'
'-y,x+1/2,-z'
'x+1/2,-y,-z'
'-x+1/2,y,z'
'-y,-x,-z'
'y,x,z'
'-x,y+1/2,-z'
'x,-y+1/2,z'
'y+1/2,x+1/2,-z'
'-y+1/2,-x+1/2,z'
loop_
_atom_site_label
_atom_site_type_symbol
_atom_site_fract_x
_atom_site_fract_y
_atom_site_fract_z
_atom_site_occupancy
Rb1 Rb 0.250 0.250 0.216 1
Mn1 Mn 0.250 0.750 0.500 1
N1 N 0.250 0.250 0.582 1
```

Entry 4:
DFT (GGA-PBE) results for a geometry-optimized Rb2MnN2 structure.

## Properties
crystal system: orthorhombic

Geometry as CIF:
```
data_Rb2MnN2
_symmetry_space_group_name_H-M 'C m c 21'
_symmetry_Int_Tables_number 36
_symmetry_space_group_name_Hall 'C 2c -2'
_cell_length_a 3.355
_cell_length_b 19.814
_cell_length_c 6.334
_cell_angle_alpha 90.00
_cell_angle_beta 90.00
_cell_angle_gamma 90.00
loop_
_atom_site_label
_atom_site_type_symbol
_atom_site_fract_x
_atom_site_fract_y
_atom_site_fract_z
_atom_site_occupancy
Rb1 Rb 0.000 0.028 0.000 1
Rb2 Rb 0.000 0.199 0.152 1
Mn1 Mn 0.000 0.370 0.081 1
N1 N 0.000 0.151 0.677 1
N2 N 0.000 0.410 0.858 1
```

Entry 5:
DFT (GGA-PBE) results for a geometry-optimized RbMnN2 structure.

## Properties
crystal system: trigonal
excess energy over the best structure of this formula in the dataset: 3.363 eV per formula unit

Geometry as CIF:
```
data_RbMnN2
_symmetry_space_group_name_H-M 'R -3 m'
_symmetry_Int_Tables_number 166
_symmetry_space_group_name_Hall '-R 3 2"'
_cell_length_a 3.1145
_cell_length_b 3.1145
_cell_length_c 20.9195
_cell_angle_alpha 90.00
_cell_angle_beta 90.00
_cell_angle_gamma 120.00
loop_
_atom_site_label
_atom_site_type_symbol
_atom_site_fract_x
_atom_site_fract_y
_atom_site_fract_z
_atom_site_occupancy
Rb1 Rb 0.0000 0.0000 0.0000 1
Mn1 Mn 0.0000 0.0000 0.5000 1
N1 N 0.0000 0.0000 0.1225 1
```

Entry 6:
DFT (GGA-PBE) results for a geometry-optimized RbMnN2 structure.

## Properties
crystal system: tetragonal
excess energy over the best structure of this formula in the dataset: 0.000 eV per formula unit

Geometry as CIF:
```
data_RbMnN2
_symmetry_space_group_name_H-M 'I -4 2 d'
_symmetry_Int_Tables_number 122
_symmetry_space_group_name_Hall 'I -4 2bw'
_cell_length_a 5.691
_cell_length_b 5.691
_cell_length_c 8.066
_cell_angle_alpha 90.00
_cell_angle_beta 90.00
_cell_angle_gamma 90.00
loop_
_atom_site_label
_atom_site_type_symbol
_atom_site_fract_x
_atom_site_fract_y
_atom_site_fract_z
_atom_site_occupancy
Rb1 Rb 0.000 0.000 0.000 1
Mn1 Mn 0.000 0.000 0.500 1
N1 N 0.002 0.750 0.625 1
```

Entry 7:
DFT (GGA-PBE) results for a geometry-optimized RbMnN structure.

## Properties
crystal system: orthorhombic
excess energy over the best structure of this formula in the dataset: 0.232 eV per formula unit

Geometry as CIF:
```
data_RbMnN
_symmetry_space_group_name_H-M 'P n m a'
_symmetry_Int_Tables_number 62
_symmetry_space_group_name_Hall '-P 2ac 2n'
_cell_length_a 10.734
_cell_length_b 3.616
_cell_length_c 6.882
_cell_angle_alpha 90.00
_cell_angle_beta 90.00
_cell_angle_gamma 90.00
loop_
_atom_site_label
_atom_site_type_symbol
_atom_site_fract_x
_atom_site_fract_y
_atom_site_fract_z
_atom_site_occupancy
Rb1 Rb 0.172 0.250 0.057 1
Mn1 Mn 0.031 0.250 0.599 1
N1 N 0.047 0.750 0.649 1
```

Entry 8:
DFT (GGA-PBE) results for a geometry-optimized RbMnN2 structure.

## Properties
crystal system: cubic
excess energy over the best structure of this formula in the dataset: 8.036 eV per formula unit

Geometry as CIF:
```
data_RbMnN2
_symmetry_space_group_name_H-M 'F m -3 m'
_symmetry_Int_Tables_number 225
_symmetry_space_group_name_Hall '-F 4 2 3'
_cell_length_a 6.154
_cell_length_b 6.154
_cell_length_c 6.154
_cell_angle_alpha 90.00
_cell_angle_beta 90.00
_cell_angle_gamma 90.00
loop_
_atom_site_label
_atom_site_type_symbol
_atom_site_fract_x
_atom_site_fract_y
_atom_site_fract_z
_atom_site_occupancy
Rb1 Rb 0.000 0.000 0.000 1
Mn1 Mn 0.000 0.000 0.500 1
N1 N 0.250 0.250 0.250 1
```

Entry 9:
DFT (GGA-PBE) results for a geometry-optimized RbMn2N2 structure.

## Properties
crystal system: tetragonal

Geometry as CIF:
```
data_RbMn2N2
_symmetry_space_group_name_H-M 'I 4/m m m'
_symmetry_Int_Tables_number 139
_symmetry_space_group_name_Hall '-I 4 2'
_cell_length_a 3.882
_cell_length_b 3.882
_cell_length_c 12.177
_cell_angle_alpha 90.00
_cell_angle_beta 90.00
_cell_angle_gamma 90.00
loop_
_atom_site_label
_atom_site_type_symbol
_atom_site_fract_x
_atom_site_fract_y
_atom_site_fract_z
_atom_site_occupancy
Rb1 Rb 0.000 0.000 0.000 1
Mn1 Mn 0.000 0.000 0.275 1
N1 N 0.000 0.500 0.250 1
```

Entry 10:
DFT (GGA-PBE) results for a geometry-optimized RbMn3N structure.

## Properties
crystal system: cubic
excess energy over the best structure of this formula in the dataset: 0.000 eV per formula unit

Geometry as CIF:
```
data_RbMn3N
_symmetry_space_group_name_H-M 'P m -3 m'
_symmetry_Int_Tables_number 221
_symmetry_space_group_name_Hall '-P 4 2 3'
_cell_length_a 4.347
_cell_length_b 4.347
_cell_length_c 4.347
_cell_angle_alpha 90.00
_cell_angle_beta 90.00
_cell_angle_gamma 90.00
loop_
_atom_site_label
_atom_site_type_symbol
_atom_site_fract_x
_atom_site_fract_y
_atom_site_fract_z
_atom_site_occupancy
Rb1 Rb 0.000 0.000 0.000 1
Mn1 Mn 0.000 0.500 0.500 1
N1 N 0.500 0.500 0.500 1
```

Entry 11:
DFT (GGA-PBE) results for a geometry-optimized Rb3MnN structure.

## Properties
crystal system: cubic
excess energy over the best structure of this formula in the dataset: 0.000 eV per formula unit

Geometry as CIF:
```
data_Rb3MnN
_symmetry_space_group_name_H-M 'P m -3 m'
_symmetry_Int_Tables_number 221
_symmetry_space_group_name_Hall '-P 4 2 3'
_cell_length_a 6.053
_cell_length_b 6.053
_cell_length_c 6.053
_cell_angle_alpha 90.00
_cell_angle_beta 90.00
_cell_angle_gamma 90.00
loop_
_atom_site_label
_atom_site_type_symbol
_atom_site_fract_x
_atom_site_fract_y
_atom_site_fract_z
_atom_site_occupancy
Rb1 Rb 0.000 0.000 0.500 1
Mn1 Mn 0.500 0.500 0.500 1
N1 N 0.000 0.000 0.000 1
```

Entry 12:
DFT (GGA-PBE) results for a geometry-optimized RbMnN2 structure.

## Properties
crystal system: trigonal
excess energy over the best structure of this formula in the dataset: 6.173 eV per formula unit

Geometry as CIF:
```
data_RbMnN2
_symmetry_space_group_name_H-M 'R -3 m'
_symmetry_Int_Tables_number 166
_symmetry_space_group_name_Hall '-R 3 2"'
_cell_length_a 3.3490
_cell_length_b 3.3490
_cell_length_c 22.7376
_cell_angle_alpha 90.00
_cell_angle_beta 90.00
_cell_angle_gamma 120.00
loop_
_atom_site_label
_atom_site_type_symbol
_atom_site_fract_x
_atom_site_fract_y
_atom_site_fract_z
_atom_site_occupancy
Rb1 Rb 0.0000 0.0000 0.0000 1
Mn1 Mn 0.0000 0.0000 0.5000 1
N1 N 0.0000 0.0000 0.4260 1
```

| no. | ΔE_f (raw) (kJ/mol of atoms) | E (eV/atom) | magnetic moment (μB per formula unit) |
| --- | --- | --- | --- |
| 1 | -120 | -10.478 | 2.49 |
| 2 | 323 | -4.014 | 12.97 |
| 3 | -11 | -6.266 | 1.44 |
| 4 | -4 | -5.591 | 1.00 |
| 5 | 52 | -6.161 | 2.11 |
| 6 | -29 | -7.002 | 0.00 |
| 7 | -3 | -6.188 | 1.62 |
| 8 | 164 | -4.993 | 2.00 |
| 9 | -8 | -7.276 | 6.81 |
| 10 | 85 | -6.475 | 11.01 |
| 11 | 93 | -3.118 | 5.39 |
| 12 | 119 | -5.459 | 0.00 |